Record 1
VASP calculation (GGA-PBE) on a relaxed structure of SrTlW2.

Structure (POSCAR):
```
SrTlW2
1.0
-0.749 -2.881 2.241
3.577 -1.036 -0.137
1.383 4.028 5.640
Sr Tl W
1 1 2
Direct
0.500 0.500 0.250
0.500 0.500 0.750
0.000 0.000 0.917
0.000 0.000 0.583
```

Results
Its formation energy is 1.157 eV/atom. Its raw total energy is -25.33 eV per cell. As for the symmetry: No. 123.


Record 2
VASP calculation (GGA-PBE) on a relaxed structure of SrTlW2.

Structure (POSCAR):
```
SrTlW2
1.0
4.595 -0.001 -0.001
3.515 2.961 -0.001
0.847 0.309 7.247
Sr Tl W
1 1 2
Direct
0.501 0.501 0.520
0.259 0.259 0.194
0.007 0.007 0.955
0.733 0.733 0.831
```

Results
Its formation energy is 0.795 eV/atom. Its raw total energy is -26.77 eV per cell. As for the symmetry: No. 8.


Record 3
VASP calculation (GGA-PBE) on a relaxed structure of SrTlW2.

Structure (POSCAR):
```
SrTlW2
1.0
-2.837 3.337 3.240
-0.100 -2.106 2.081
4.687 1.823 2.228
Sr Tl W
1 1 2
Direct
0.500 0.250 0.250
0.500 0.750 0.750
0.000 0.869 0.029
0.000 0.631 0.471
```

Results
Its formation energy is 1.114 eV/atom. Its raw total energy is -25.50 eV per cell. As for the symmetry: No. 10.


Record 4
VASP calculation (GGA-PBE) on a relaxed structure of SrTlW2.

Structure (POSCAR):
```
SrTlW2
1.0
-4.498 -3.209 -2.445
-1.794 -4.857 3.113
0.645 6.007 -0.051
Sr Tl W
1 1 2
Direct
0.516 0.516 0.000
0.226 0.726 0.500
0.964 0.964 0.000
0.794 0.294 0.500
```

Results
Its formation energy is 0.955 eV/atom. Its raw total energy is -26.13 eV per cell. As for the symmetry: No. 44.


Record 5
VASP calculation (GGA-PBE) on a relaxed structure of SrTlW2.

Structure (POSCAR):
```
SrTlW2
1.0
3.389 0.000 0.000
0.000 3.392 -0.015
0.000 3.426 8.195
Sr Tl W
1 1 2
Direct
0.000 0.518 0.481
0.500 0.708 0.792
0.000 0.952 0.049
0.500 0.322 0.178
```

Results
Its formation energy is 0.534 eV/atom. Its raw total energy is -27.82 eV per cell. As for the symmetry: No. 6.


Record 6
VASP calculation (GGA-PBE) on a relaxed structure of SrTlW4.

Structure (POSCAR):
```
SrTlW4
1.0
0.000 3.932 3.932
3.932 0.000 3.932
3.932 3.932 0.000
Sr Tl W
1 1 4
Direct
0.250 0.250 0.250
0.000 0.000 0.000
0.127 0.624 0.624
0.624 0.624 0.624
0.624 0.127 0.624
0.624 0.624 0.127
```

Results
Its formation energy is 0.856 eV/atom. Its raw total energy is -50.73 eV per cell. As for the symmetry: No. 216.


Record 7
VASP calculation (GGA-PBE) on a relaxed structure of SrTlW2.

Structure (POSCAR):
```
SrTlW2
1.0
2.903 0.044 0.000
-0.646 2.831 0.000
0.000 0.000 10.249
Sr Tl W
1 1 2
Direct
0.500 0.500 0.250
0.500 0.500 0.750
0.000 0.000 0.979
0.000 0.000 0.521
```

Results
Its formation energy is 1.267 eV/atom. Its raw total energy is -24.89 eV per cell. As for the symmetry: No. 65.


Record 8
VASP calculation (GGA-PBE) on a relaxed structure of SrTlW2.

Structure (POSCAR):
```
SrTlW2
1.0
10.649 -0.018 -0.010
10.218 2.999 -0.010
10.218 1.460 2.619
Sr Tl W
1 1 2
Direct
0.250 0.250 0.250
0.750 0.750 0.750
0.007 0.007 0.007
0.493 0.493 0.493
```

Results
Its formation energy is 1.333 eV/atom. Its raw total energy is -24.62 eV per cell. As for the symmetry: No. 166.


Record 9
VASP calculation (GGA-PBE) on a relaxed structure of SrTlW2.

Structure (POSCAR):
```
SrTlW2
1.0
-2.224 5.447 -0.317
1.118 -2.946 -4.978
-2.635 -1.073 0.043
Sr Tl W
1 1 2
Direct
0.500 0.000 0.500
0.000 0.500 0.500
0.000 0.000 0.000
0.500 0.500 0.000
```

Results
Its formation energy is 1.345 eV/atom. Its raw total energy is -24.58 eV per cell. As for the symmetry: No. 65.


Record 10
VASP calculation (GGA-PBE) on a relaxed structure of SrTlW2.

Structure (POSCAR):
```
SrTlW2
1.0
0.000 3.463 3.463
3.463 0.000 3.463
3.463 3.463 0.000
Sr Tl W
1 1 2
Direct
0.000 0.000 0.000
0.500 0.500 0.500
0.250 0.250 0.250
0.750 0.750 0.750
```

Results
Its formation energy is 1.784 eV/atom. Its raw total energy is -22.82 eV per cell. As for the symmetry: No. 225.


Record 11
VASP calculation (GGA-PBE) on a relaxed structure of SrTlW2.

Structure (POSCAR):
```
SrTlW2
1.0
5.759 0.000 -0.009
5.025 2.813 -0.009
1.230 0.321 5.270
Sr Tl W
1 1 2
Direct
0.750 0.750 0.750
0.250 0.250 0.250
0.983 0.983 0.017
0.517 0.517 0.483
```

Results
Its formation energy is 1.182 eV/atom. Its raw total energy is -25.23 eV per cell. As for the symmetry: No. 12.


Record 12
VASP calculation (GGA-PBE) on a relaxed structure of SrTlW2.

Structure (POSCAR):
```
SrTlW2
1.0
-2.929 -5.594 -0.061
1.404 -4.468 -4.237
1.336 3.777 4.882
Sr Tl W
1 1 2
Direct
0.750 0.250 0.500
0.250 0.750 0.500
0.019 0.019 0.000
0.481 0.481 0.000
```

Results
Its formation energy is 1.215 eV/atom. Its raw total energy is -25.09 eV per cell. As for the symmetry: No. 71.


| no. | total magnetic moment (μB per cell) |
| --- | --- |
| 1 | 0.00 |
| 2 | 0.00 |
| 3 | 0.00 |
| 4 | 0.00 |
| 5 | 0.00 |
| 6 | 0.00 |
| 7 | 0.00 |
| 8 | 0.00 |
| 9 | 0.00 |
| 10 | 0.00 |
| 11 | 0.00 |
| 12 | 0.00 |